Material: Zn3Mo
Method: DFT, GGA-PBEsol
State: relaxed

Cell lengths 5.369, 5.369, 8.849 Å; angles 90.00, 90.00, 120.00 degrees
Sites, in units of the cell vectors:
Zn (0.000, 0.500, 0.000)
Zn (0.000, 0.500, 0.500)
Zn (0.167, 0.333, 0.250)
Zn (0.167, 0.833, 0.250)
Zn (0.333, 0.167, 0.750)
Zn (0.500, 0.000, 0.000)
Zn (0.500, 0.000, 0.500)
Zn (0.500, 0.500, 0.000)
Zn (0.500, 0.500, 0.500)
Zn (0.667, 0.833, 0.250)
Zn (0.833, 0.167, 0.750)
Zn (0.833, 0.667, 0.750)
Mo (0.000, 0.000, 0.000)
Mo (0.000, 0.000, 0.500)
Mo (0.333, 0.667, 0.750)
Mo (0.667, 0.333, 0.250)

* formation enthalpy at 0 K: 0.004 eV per atom
* E_tot: -4.125 eV per atom

***

Material: Zn22Mo
Method: DFT, GGA-PBEsol
State: relaxed

Cell lengths 9.692, 9.692, 9.692 Å; angles 60.00, 60.00, 60.00 degrees
Sites, in units of the cell vectors:
Zn (0.000, 0.000, 0.000)
Zn (0.000, 0.000, 0.500)
Zn (0.000, 0.500, 0.000)
Zn (0.000, 0.500, 0.500)
Zn (0.016, 0.016, 0.734)
Zn (0.016, 0.734, 0.016)
Zn (0.016, 0.734, 0.734)
Zn (0.182, 0.182, 0.442)
Zn (0.182, 0.182, 0.695)
Zn (0.182, 0.442, 0.182)
Zn (0.182, 0.442, 0.695)
Zn (0.182, 0.695, 0.182)
Zn (0.182, 0.695, 0.442)
Zn (0.266, 0.266, 0.984)
Zn (0.266, 0.984, 0.266)
Zn (0.266, 0.984, 0.984)
Zn (0.305, 0.558, 0.818)
Zn (0.305, 0.818, 0.558)
Zn (0.305, 0.818, 0.818)
Zn (0.442, 0.182, 0.182)
Zn (0.442, 0.182, 0.695)
Zn (0.442, 0.695, 0.182)
Zn (0.500, 0.000, 0.000)
Zn (0.500, 0.000, 0.500)
Zn (0.500, 0.500, 0.000)
Zn (0.500, 0.500, 0.500)
Zn (0.558, 0.305, 0.818)
Zn (0.558, 0.818, 0.305)
Zn (0.558, 0.818, 0.818)
Zn (0.695, 0.182, 0.182)
Zn (0.695, 0.182, 0.442)
Zn (0.695, 0.442, 0.182)
Zn (0.734, 0.016, 0.016)
Zn (0.734, 0.016, 0.734)
Zn (0.734, 0.734, 0.016)
Zn (0.818, 0.305, 0.558)
Zn (0.818, 0.305, 0.818)
Zn (0.818, 0.558, 0.305)
Zn (0.818, 0.558, 0.818)
Zn (0.818, 0.818, 0.305)
Zn (0.818, 0.818, 0.558)
Zn (0.984, 0.266, 0.266)
Zn (0.984, 0.266, 0.984)
Zn (0.984, 0.984, 0.266)
Mo (0.375, 0.375, 0.375)
Mo (0.625, 0.625, 0.625)

* formation enthalpy at 0 K: 0.024 eV per atom
* E_tot: -2.001 eV per atom

***

Material: ZnMo2
Method: DFT, GGA-PBEsol
State: relaxed

Cell lengths 4.414, 4.414, 2.629 Å; angles 90.00, 90.00, 120.00 degrees
Sites, in units of the cell vectors:
Zn (0.000, 0.000, 0.000)
Mo (0.333, 0.667, 0.367)
Mo (0.667, 0.333, 0.633)

* formation enthalpy at 0 K: 0.087 eV per atom
* relative energy among the computed polymorphs: 0.0 meV/atom
* E_tot: -8.286 eV per atom

***

Material: ZnMo2
Method: DFT, GGA-PBEsol
State: relaxed

Cell lengths 10.563, 2.584, 6.725 Å; angles 90.00, 103.24, 90.00 degrees
Sites, in units of the cell vectors:
Zn (0.202, 0.000, 0.143)
Zn (0.298, 0.500, 0.857)
Zn (0.702, 0.500, 0.143)
Zn (0.798, 0.000, 0.857)
Mo (0.026, 0.500, 0.816)
Mo (0.136, 0.000, 0.520)
Mo (0.364, 0.500, 0.480)
Mo (0.474, 0.000, 0.184)
Mo (0.526, 0.000, 0.816)
Mo (0.636, 0.500, 0.520)
Mo (0.864, 0.000, 0.480)
Mo (0.974, 0.500, 0.184)

* formation enthalpy at 0 K: 0.243 eV per atom
* relative energy among the computed polymorphs: 156.0 meV/atom
* E_tot: -8.130 eV per atom

***

Material: Zn3Mo
Method: DFT, GGA-PBEsol
State: relaxed

Cell lengths 3.804, 3.804, 3.804 Å; angles 90.00, 90.00, 90.00 degrees
Sites, in units of the cell vectors:
Zn (0.000, 0.000, 0.500)
Zn (0.000, 0.500, 0.000)
Zn (0.500, 0.000, 0.000)
Mo (0.500, 0.500, 0.500)

* formation enthalpy at 0 K: -0.051 eV per atom
* E_tot: -4.179 eV per atom

***

Material: Zr2ZnMo
Method: DFT, GGA-PBEsol
State: relaxed

Cell lengths 4.069, 4.069, 8.625 Å; angles 90.00, 90.00, 90.00 degrees
Sites, in units of the cell vectors:
Zr (0.000, 0.000, 0.000)
Zr (0.000, 0.500, 0.250)
Zr (0.500, 0.000, 0.750)
Zr (0.500, 0.500, 0.500)
Zn (0.000, 0.500, 0.750)
Zn (0.500, 0.000, 0.250)
Mo (0.000, 0.000, 0.500)
Mo (0.500, 0.500, 0.000)

* formation enthalpy at 0 K: 0.029 eV per atom
* E_tot: -7.853 eV per atom

***

Material: ZrZnMo2
Method: DFT, GGA-PBEsol
State: relaxed

Cell lengths 3.219, 3.219, 6.311 Å; angles 90.00, 90.00, 90.00 degrees
Sites, in units of the cell vectors:
Zr (0.000, 0.000, 0.000)
Zn (0.500, 0.500, 0.723)
Mo (0.000, 0.000, 0.490)
Mo (0.500, 0.500, 0.269)

* formation enthalpy at 0 K: -0.058 eV per atom
* E_tot: -8.610 eV per atom

***

Material: ZrZnMo2
Method: DFT, GGA-PBEsol
State: relaxed

Cell lengths 2.797, 2.797, 29.234 Å; angles 90.00, 90.00, 120.00 degrees
Sites, in units of the cell vectors:
Zr (0.000, 0.000, 0.000)
Zr (0.333, 0.667, 0.667)
Zr (0.667, 0.333, 0.333)
Zn (0.000, 0.000, 0.752)
Zn (0.333, 0.667, 0.419)
Zn (0.667, 0.333, 0.086)
Mo (0.000, 0.000, 0.243)
Mo (0.000, 0.000, 0.496)
Mo (0.333, 0.667, 0.163)
Mo (0.333, 0.667, 0.910)
Mo (0.667, 0.333, 0.576)
Mo (0.667, 0.333, 0.829)

* formation enthalpy at 0 K: 0.311 eV per atom
* E_tot: -8.241 eV per atom